# 1
This record from the Alexandria database describes crystalline Mo3Se at its relaxed geometry. The functional is PBE.

POSCAR file:
```
Mo3Se
1.0
3.105 0.000 0.000
-1.552 2.689 0.000
0.000 0.000 7.836
Se Mo
1 3
direct
0.667 0.333 0.750
0.000 0.000 0.986
0.000 0.000 0.514
0.667 0.333 0.250
```

Formation energy without anion corrections: 0.21 eV per atom



# 2
This record from the Alexandria database describes crystalline Sc2GaPd at its relaxed geometry. The functional is PBE.

POSCAR file:
```
Sc2GaPd
1.0
7.347 0.000 0.000
0.000 7.347 0.000
3.674 3.674 3.055
Sc Ga Pd
4 2 2
direct
0.375 0.353 0.750
0.875 0.897 0.750
0.647 0.125 0.250
0.103 0.625 0.250
0.500 0.500 0.000
0.250 0.750 0.500
0.750 0.250 0.500
0.000 0.000 0.000
```

Energy relative to the elements: -0.31 eV/atom



# 3
This record from the Alexandria database describes crystalline CaAg2O4 at its relaxed geometry. The functional is PBE.

POSCAR file:
```
CaAg2O4
1.0
4.466 0.682 6.129
-2.542 -4.216 5.809
1.404 -1.529 -7.326
O Ca Ag
8 2 4
direct
0.622 0.897 0.275
0.622 0.347 0.725
0.647 0.872 0.775
0.128 0.353 0.225
0.653 0.378 0.275
0.103 0.378 0.725
0.097 0.872 0.225
0.128 0.903 0.775
0.250 0.750 0.500
0.500 0.500 0.000
0.875 0.125 0.750
0.375 0.125 0.250
0.875 0.125 0.250
0.875 0.625 0.750
```

Formation energy without anion corrections: -0.80 eV per atom



# 4
This record from the Alexandria database describes crystalline Mn2InHRh at its relaxed geometry. The functional is PBE.

POSCAR file:
```
Mn2InHRh
1.0
4.002 0.000 0.000
0.000 4.002 0.000
0.000 0.000 3.974
Mn H In Rh
2 1 1 1
direct
0.000 0.500 0.000
0.500 0.000 0.000
0.000 0.000 0.000
0.500 0.500 0.500
0.000 0.000 0.500
```

Total DFT energy (no corrections): -6.44 eV/atom